{"formula": "SrSn4", "functional": "meta-GGA SCAN", "state": "single point on PBEsol structure", "cell": [[4.668, 0.000, 0.000], [0.000, 6.926, 0.000], [-2.334, 0.000, 8.550]], "species": ["Sr", "Sr", "Sn", "Sn", "Sn", "Sn", "Sn", "Sn", "Sn", "Sn"], "fractional_positions": [[0.610, 0.250, 0.221], [0.390, 0.750, 0.779], [0.804, 0.040, 0.609], [0.196, 0.960, 0.391], [0.196, 0.540, 0.391], [0.804, 0.460, 0.609], [0.408, 0.250, 0.816], [0.592, 0.750, 0.184], [0.000, 0.000, 0.000], [0.000, 0.500, 0.000]], "formation_energy_ev_per_atom": -0.34, "space_group": "Cmcm (63)"}



{"formula": "Tc3PdAu", "functional": "meta-GGA SCAN", "state": "single point on PBEsol structure", "cell": [[4.679, 0.000, 0.000], [0.000, 4.679, 0.000], [0.000, 0.000, 4.679]], "species": ["Au", "Tc", "Tc", "Tc", "Pd"], "fractional_positions": [[0.000, 0.000, 0.000], [0.000, 0.500, 0.000], [0.000, 0.000, 0.500], [0.500, 0.000, 0.000], [0.500, 0.500, 0.500]], "formation_energy_ev_per_atom": 2.38, "space_group": "Pm-3m (221)"}



{"formula": "HWS2", "functional": "meta-GGA SCAN", "state": "single point on PBEsol structure", "cell": [[4.101, 0.000, 0.000], [2.051, 3.552, 0.000], [2.051, 1.184, 3.349]], "species": ["H", "S", "S", "W"], "fractional_positions": [[0.000, 0.000, 0.000], [0.250, 0.250, 0.250], [0.750, 0.750, 0.750], [0.500, 0.500, 0.500]], "polymorph_energy_ev_per_atom": 0.000, "space_group": "Fm-3m (225)"}



{"formula": "Zr2ScPt2", "functional": "meta-GGA SCAN", "state": "single point on PBEsol structure", "cell": [[3.405, 0.000, 0.000], [0.000, 7.531, 0.000], [0.000, 0.000, 7.531]], "species": ["Sc", "Sc", "Zr", "Zr", "Zr", "Zr", "Pt", "Pt", "Pt", "Pt"], "fractional_positions": [[0.000, 0.000, 0.000], [0.000, 0.500, 0.500], [0.500, 0.169, 0.669], [0.500, 0.669, 0.831], [0.500, 0.831, 0.331], [0.500, 0.331, 0.169], [0.000, 0.369, 0.869], [0.000, 0.869, 0.631], [0.000, 0.631, 0.131], [0.000, 0.131, 0.369]], "formation_energy_ev_per_atom": -1.16, "space_group": "P4/mbm (127)"}



{"formula": "LaIBr3", "functional": "meta-GGA SCAN", "state": "single point on PBEsol structure", "cell": [[-3.305, 4.701, 0.666], [0.319, -0.589, 5.746], [4.737, 3.319, 0.077]], "species": ["I", "Br", "Br", "Br", "La"], "fractional_positions": [[0.500, 0.500, 0.500], [0.000, 0.500, 0.000], [0.000, 0.000, 0.500], [0.500, 0.000, 0.000], [0.000, 0.000, 0.000]], "space_group": "Pm-3m (221)"}



{"formula": "ScS2NCl", "functional": "meta-GGA SCAN", "state": "single point on PBEsol structure", "cell": [[-2.230, -3.088, 1.180], [3.412, -2.599, -0.353], [1.042, 0.812, 4.095]], "species": ["Sc", "S", "S", "N", "Cl"], "fractional_positions": [[0.500, 0.500, 0.500], [0.000, 0.000, 0.500], [0.000, 0.500, 0.000], [0.000, 0.000, 0.000], [0.500, 0.000, 0.000]], "space_group": "P4/mmm (123)"}



no.,M_tot (μB per formula unit),raw total energy (eV/atom),density (Mg/m³)
1,0.000,-33.534,6.8
2,8.640,-39.044,9.7
3,1.180,-22.582,8.5
4,0.000,-44.366,10.6
5,1.001,-29.091,4.3
6,0.000,-10.028,3.6